{
  "formula": "BeTe2Ir",
  "functional": "PBE-GGA",
  "state": "relaxed",
  "space_group": "No. 38",
  "formation_energy_uncorrected_mev_per_atom": 6.5,
  "lattice": [[4.391, 0.000, 0.000], [0.000, 2.569, 3.592], [0.000, -2.569, 3.592]],
  "species": ["Be", "Te", "Te", "Ir"],
  "frac_coords": [[0.000, 0.000, 0.000], [0.000, 0.365, 0.365], [0.500, 0.779, 0.779], [0.500, 0.152, 0.152]]
}

{
  "formula": "NdSc2Zn",
  "functional": "PBE-GGA",
  "state": "relaxed",
  "ef_mev_per_atom": -38.0,
  "space_group": "No. 123",
  "de_polymorph_ev_per_atom": 0.1122,
  "lattice": [[4.551, 0.000, 0.000], [0.000, 4.551, 0.000], [0.000, 0.000, 4.640]],
  "species": ["Nd", "Sc", "Sc", "Zn"],
  "frac_coords": [[0.000, 0.000, 0.000], [0.000, 0.500, 0.500], [0.500, 0.000, 0.500], [0.500, 0.500, 0.000]]
}

{
  "formula": "Ba2TlBi2",
  "functional": "PBE-GGA",
  "state": "relaxed",
  "ef_mev_per_atom": -413.9,
  "space_group": "No. 139",
  "de_polymorph_ev_per_atom": 0.2685,
  "lattice": [[-3.508, 3.508, 4.744], [3.508, -3.508, 4.744], [3.508, 3.508, -4.744]],
  "species": ["Ba", "Ba", "Tl", "Bi", "Bi"],
  "frac_coords": [[0.250, 0.750, 0.500], [0.750, 0.250, 0.500], [0.000, 0.000, 0.000], [0.326, 0.326, 0.000], [0.674, 0.674, 0.000]]
}

{
  "formula": "SiSnPt2Cl",
  "functional": "PBE-GGA",
  "state": "relaxed",
  "space_group": "No. 123",
  "formation_energy_uncorrected_mev_per_atom": 993.3,
  "lattice": [[4.553, 0.000, 0.000], [0.000, 4.553, 0.000], [0.000, 0.000, 5.421]],
  "species": ["Si", "Sn", "Pt", "Pt", "Cl"],
  "frac_coords": [[0.000, 0.000, 0.000], [0.500, 0.500, 0.000], [0.000, 0.500, 0.500], [0.500, 0.000, 0.500], [0.500, 0.500, 0.500]]
}

{
  "formula": "SrMoOs2",
  "functional": "PBE-GGA",
  "state": "relaxed",
  "ef_mev_per_atom": 1176.6,
  "space_group": "No. 47",
  "de_polymorph_ev_per_atom": 0.6698,
  "lattice": [[2.956, 0.000, 0.000], [0.000, 4.853, 0.000], [0.000, 0.000, 4.881]],
  "species": ["Sr", "Mo", "Os", "Os"],
  "frac_coords": [[0.000, 0.000, 0.000], [0.500, 0.000, 0.500], [0.000, 0.500, 0.500], [0.500, 0.500, 0.000]]
}

no.,V (A^3/atom),raw total energy (Ry per atom)
1,20.26,-0.3463
2,24.02,-0.3465
3,46.70,-0.2358
4,22.47,-0.2703
5,17.51,-0.5561